# PBE Pr2TlAu4, optimized geometry
# E_tot: -28.500 eV/f.u.
# crystal system: trigonal
# DOS(E_F): 4.58 states/eV/f.u.
# energy of formation: -3.5 eV/f.u.
# magnetic moment: 0.00 μB/f.u.
data_Pr2TlAu4
_symmetry_space_group_name_H-M 'R -3 m'
_symmetry_Int_Tables_number 166
_symmetry_space_group_name_Hall '-R 3 2"'
_cell_length_a 5.1698
_cell_length_b 5.1698
_cell_length_c 23.8753
_cell_angle_alpha 90.00
_cell_angle_beta 90.00
_cell_angle_gamma 120.00
loop_
_atom_site_label
_atom_site_type_symbol
_atom_site_fract_x
_atom_site_fract_y
_atom_site_fract_z
_atom_site_occupancy
Pr1 Pr 0.0000 0.0000 0.2474 1
Tl1 Tl 0.0000 0.0000 0.5000 1
Au1 Au 0.0000 0.0000 0.1160 1
Au2 Au 0.0000 0.0000 0.3745 1

# PBE HfZnGe3, optimized geometry
# E_tot: -21.737 eV/f.u.
# crystal system: cubic
# DOS(E_F): 3.94 states/eV/f.u.
# excess energy over the best structure of this formula in the dataset: 0.121 eV/atom
# energy of formation: 3.3 eV/f.u.
# magnetic moment: 0.00 μB/f.u.
data_HfZnGe3
_symmetry_space_group_name_H-M 'P m -3 m'
_symmetry_Int_Tables_number 221
_symmetry_space_group_name_Hall '-P 4 2 3'
_cell_length_a 4.749
_cell_length_b 4.749
_cell_length_c 4.749
_cell_angle_alpha 90.00
_cell_angle_beta 90.00
_cell_angle_gamma 90.00
loop_
_atom_site_label
_atom_site_type_symbol
_atom_site_fract_x
_atom_site_fract_y
_atom_site_fract_z
_atom_site_occupancy
Hf1 Hf 0.000 0.000 0.000 1
Zn1 Zn 0.500 0.500 0.500 1
Ge1 Ge 0.000 0.500 0.500 1

# PBE Zr2ZnS, optimized geometry
# E_tot: -25.518 eV/f.u.
# crystal system: trigonal
# DOS(E_F): 2.51 states/eV/f.u.
# excess energy over the best structure of this formula in the dataset: 0.067 eV/atom
# uncorrected formation energy: -3.020 eV per formula unit
# magnetic moment: 0.00 μB/f.u.
data_Zr2ZnS
_symmetry_space_group_name_H-M 'R 3 m'
_symmetry_Int_Tables_number 160
_symmetry_space_group_name_Hall 'R 3 -2"'
_cell_length_a 3.5754
_cell_length_b 3.5754
_cell_length_c 21.2836
_cell_angle_alpha 90.00
_cell_angle_beta 90.00
_cell_angle_gamma 120.00
loop_
_atom_site_label
_atom_site_type_symbol
_atom_site_fract_x
_atom_site_fract_y
_atom_site_fract_z
_atom_site_occupancy
Zr1 Zr 0.0000 0.0000 0.0000 1
Zr2 Zr 0.0000 0.0000 0.1964 1
Zn1 Zn 0.0000 0.0000 0.4303 1
S1 S 0.0000 0.0000 0.5984 1

# PBE ScTaMo2, optimized geometry
# E_tot: -39.477 eV/f.u.
# crystal system: monoclinic
# DOS(E_F): 3.27 states/eV/f.u.
# excess energy over the best structure of this formula in the dataset: 0.081 eV/atom
# energy of formation: 0.4 eV/f.u.
# magnetic moment: 0.00 μB/f.u.
data_ScTaMo2
_symmetry_space_group_name_H-M 'C 1 2/m 1'
_symmetry_Int_Tables_number 12
_cell_length_a 5.836
_cell_length_b 8.956
_cell_length_c 2.834
_cell_angle_alpha 90.00
_cell_angle_beta 109.92
_cell_angle_gamma 90.00
loop_
_symmetry_equiv_pos_as_xyz
'x,y,z'
'-x,-y,-z'
'-x,y,-z'
'x,-y,z'
'x+1/2,y+1/2,z'
'-x+1/2,-y+1/2,-z'
'-x+1/2,y+1/2,-z'
'x+1/2,-y+1/2,z'
loop_
_atom_site_label
_atom_site_type_symbol
_atom_site_fract_x
_atom_site_fract_y
_atom_site_fract_z
_atom_site_occupancy
Sc1 Sc 0.000 0.000 0.000 1
Ta1 Ta 0.000 0.500 0.000 1
Mo1 Mo 0.250 0.250 0.500 1